DFT (PBE) results for SrAc7Sn5 after structural relaxation.

```
data_SrAc7Sn5
_cell_length_a 6.991
_cell_length_b 11.694
_cell_length_c 11.957
_cell_angle_alpha 90.00
_cell_angle_beta 90.00
_cell_angle_gamma 90.00
_symmetry_space_group_name_H-M 'I m m 2'
_symmetry_Int_Tables_number 44
_symmetry_space_group_name_Hall 'I 2 -2'
loop_
_atom_site_label
_atom_site_type_symbol
_atom_site_fract_x
_atom_site_fract_y
_atom_site_fract_z
Sr1 Sr 0.000 0.000 0.000
Ac1 Ac 0.000 0.000 0.348
Ac2 Ac 0.000 0.000 0.681
Ac3 Ac 0.000 0.321 0.564
Ac4 Ac 0.000 0.335 0.047
Ac5 Ac 0.000 0.500 0.315
Sn1 Sn 0.000 0.500 0.800
Sn2 Sn 0.235 0.242 0.807
```

Values from the calculation:
Raw total energy   -4.31 eV/atom
Energy of formation   -0.428 eV/atom